## CsSeBr2 (PBE)

Data for an optimized crystal structure of CsSeBr2.

Geometry as CIF:
```
data_CsSeBr2
_space_group_name_H-M_alt 'P 1'
_space_group_IT_number 1
_cell_length_a 9.937
_cell_length_b 9.937
_cell_length_c 9.937
_cell_angle_alpha 142.15
_cell_angle_beta 142.15
_cell_angle_gamma 54.60
loop_
_space_group_symop_operation_xyz
'x,y,z'
loop_
_atom_site_label
_atom_site_fract_x
_atom_site_fract_y
_atom_site_fract_z
Cs1 0.000 0.000 0.000
Cs2 0.750 0.250 0.500
Se1 0.250 0.750 0.500
Se2 0.500 0.500 0.000
Br1 0.261 0.625 0.136
Br2 0.375 0.511 0.636
Br3 0.489 0.125 0.864
Br4 0.875 0.739 0.364
```

Polymorph energy (0 for the lowest one) ... 0.00 kJ/mol of atoms
Calculated volume ... 366.9 Å³/cell
Space-group type ... I-42d
E_form (uncorrected) ... -0.6113 eV/atom